Compound: CsMgIn3
Source: the Alexandria database
Functional: GGA-PBE
Structure: relaxed

CIF file:
```
data_CsMgIn3
_cell_length_a 11.6805
_cell_length_b 11.7389
_cell_length_c 5.6570
_cell_angle_alpha 90.00
_cell_angle_beta 103.65
_cell_angle_gamma 90.00
_symmetry_space_group_name_H-M 'P 1 21/c 1'
_symmetry_Int_Tables_number 14
loop_
_symmetry_equiv_pos_as_xyz
'x,y,z'
'-x,-y,-z'
'-x,y+1/2,-z+1/2'
'x,-y+1/2,z+1/2'
loop_
_atom_site_label
_atom_site_type_symbol
_atom_site_fract_x
_atom_site_fract_y
_atom_site_fract_z
Cs1 Cs 0.1910 0.0694 0.0965
Mg1 Mg 0.3010 0.7487 0.8914
In1 In 0.0685 0.6937 0.0303
In2 In 0.4343 0.5599 0.2108
In3 In 0.4507 0.1910 0.7394
```

Calculated values
For the energy above the most stable polymorph in this dataset, the calculation gives 0 meV per atom. The value obtained for the formation enthalpy at 0 K is -0.03 eV per atom.